# 1
Here is a relaxed MgNiAg3 crystal from Alexandria via LeMat-Bulk. Energies are from PBE.

Lattice parameters (Å, degrees): 4.784 4.784 4.784 90.00 90.00 90.00
Element x y z (fractional)
Mg1 0.000 0.000 0.000
Ni1 0.500 0.500 0.500
Ag1 0.000 0.500 0.500
Ag2 0.500 0.000 0.500
Ag3 0.500 0.500 0.000

* total moment: 0.00 μB/f.u.
* DOS at the Fermi energy: 2.6 states/eV/cell
* crystal system: cubic
* formation enthalpy at 0 K: 0.54 eV/atom


# 2
Here is a relaxed AgBSe3 crystal from Alexandria via LeMat-Bulk. Energies are from PBE.

Lattice parameters (Å, degrees): 5.077 5.077 5.077 90.00 90.00 90.00
Element x y z (fractional)
Ag1 0.000 0.000 0.000
B1 0.500 0.500 0.500
Se1 0.000 0.000 0.500
Se2 0.000 0.500 0.000
Se3 0.500 0.000 0.000

* total moment: 0.00 μB/f.u.
* E_form (uncorrected): 1480.7 meV/atom
* DOS at the Fermi energy: 5.5 states/eV/cell
* crystal system: cubic